Entry from the Alexandria database: a relaxed structure of CaH (GGA-PBE).

Summary:
**Fermi-level density of states**: 0.513 states/eV/atom
**Theoretical density**: 2014 kg/m³
**Uncorrected energy**: -2.77 eV/atom
**Space group**: P-6m2

Unit cell a=3.520 b=3.520 c=3.157 alpha=90.00 beta=90.00 gamma=120.00
Fractional positions:
1 Ca 0.000 0.000 0.000
2 H 0.667 0.333 0.500